Computed, not measured: Y3Tm6Th after structural relaxation at the PBE-GGA level of DFT.

CIF file:
```
data_Y3Tm6Th
_chemical_formula_sum 'Y3 Tm6 Th1'
_space_group_name_H-M_alt 'P 1'
_space_group_IT_number 1
_cell_length_a 6.842
_cell_length_b 6.842
_cell_length_c 6.842
_cell_angle_alpha 90.85
_cell_angle_beta 90.85
_cell_angle_gamma 90.85
loop_
_space_group_symop_operation_xyz
'x,y,z'
loop_
_atom_site_label
_atom_site_type_symbol
_atom_site_fract_x
_atom_site_fract_y
_atom_site_fract_z
Y1 Y 0.000 0.000 0.000
Y2 Y 0.242 0.242 0.242
Y3 Y 0.758 0.758 0.758
Tm1 Tm 0.000 0.664 0.336
Tm2 Tm 0.168 0.500 0.832
Tm3 Tm 0.336 0.000 0.664
Tm4 Tm 0.500 0.832 0.168
Tm5 Tm 0.664 0.336 0.000
Tm6 Tm 0.832 0.168 0.500
Th1 Th 0.500 0.500 0.500
```

Computed properties:
Theoretical density (Mg/m³): 7.84
Formation energy from the elements (meV per atom): 330
E above lowest polymorph (meV/atom): 179
SG: R32 (155)